The following is a DFT calculation (PBE) of CrRuCl2 after structural relaxation.

Lattice parameters (Å, degrees): 3.481 3.481 8.624 83.69 83.69 52.45
Fractional positions:
Ru  0.764  0.764  0.545
Cl  0.012  0.012  0.912
Cl  0.229  0.229  0.330
Cr  0.494  0.494  0.713

Summary:
Space group = Cm
Energy above the lowest structure with this stoichiometry = 0 meV/atom
Formation energy without anion corrections = -0.22 eV per atom
Total DFT energy (no corrections) = -5.86 eV per atom
Calculated volume = 20.56 Å³/atom
D(E_F) = 2.41 states/eV/f.u.

The following is a DFT calculation (PBE) of CrRuCl2 after structural relaxation.

Lattice parameters (Å, degrees): 3.347 3.347 7.865 90.00 90.00 122.92
Fractional positions:
Ru  0.500  0.500  0.750
Cl  0.000  0.000  0.016
Cl  0.000  0.000  0.484
Cr  0.500  0.500  0.250

Summary:
Space group = Cmmm
Energy above the lowest structure with this stoichiometry = 675 meV/atom
Formation energy without anion corrections = 0.46 eV per atom
Total DFT energy (no corrections) = -5.19 eV per atom
Calculated volume = 18.49 Å³/atom
D(E_F) = 2.69 states/eV/f.u.

The following is a DFT calculation (PBE) of CrRuCl2 after structural relaxation.

Lattice parameters (Å, degrees): 6.584 6.584 4.507 82.57 82.57 26.74
Fractional positions:
Ru  0.750  0.750  0.750
Cl  0.885  0.885  0.047
Cl  0.615  0.615  0.453
Cr  0.250  0.250  0.250

Summary:
Space group = C2/m
Energy above the lowest structure with this stoichiometry = 252 meV/atom
Formation energy without anion corrections = 0.04 eV per atom
Total DFT energy (no corrections) = -5.61 eV per atom
Calculated volume = 21.78 Å³/atom
D(E_F) = 4.53 states/eV/f.u.

The following is a DFT calculation (PBE) of CrRuCl2 after structural relaxation.

Lattice parameters (Å, degrees): 3.973 3.364 5.165 92.14 90.00 90.00
Fractional positions:
Ru  0.500  0.750  0.750
Cl  0.000  0.976  0.993
Cl  0.000  0.524  0.507
Cr  0.500  0.250  0.250

Summary:
Space group = P2/m
Energy above the lowest structure with this stoichiometry = 595 meV/atom
Formation energy without anion corrections = 0.38 eV per atom
Total DFT energy (no corrections) = -5.27 eV per atom
Calculated volume = 17.25 Å³/atom
D(E_F) = 3.48 states/eV/f.u.

The following is a DFT calculation (PBE) of CrRuCl2 after structural relaxation.

Lattice parameters (Å, degrees): 9.766 9.766 9.766 18.03 18.03 18.03
Fractional positions:
Ru  0.250  0.250  0.250
Cl  0.029  0.029  0.029
Cl  0.471  0.471  0.471
Cr  0.750  0.750  0.750

Summary:
Space group = R-3m
Energy above the lowest structure with this stoichiometry = 673 meV/atom
Formation energy without anion corrections = 0.46 eV per atom
Total DFT energy (no corrections) = -5.19 eV per atom
Calculated volume = 19.48 Å³/atom
D(E_F) = 3.42 states/eV/f.u.

The following is a DFT calculation (PBE) of CrRuCl2 after structural relaxation.

Lattice parameters (Å, degrees): 6.776 6.776 6.776 144.58 149.93 47.13
Fractional positions:
Ru  0.250  0.750  0.500
Cl  0.881  0.881  0.000
Cl  0.619  0.619  0.000
Cr  0.750  0.250  0.500

Summary:
Space group = Immm
Energy above the lowest structure with this stoichiometry = 281 meV/atom
Formation energy without anion corrections = 0.07 eV per atom
Total DFT energy (no corrections) = -5.58 eV per atom
Calculated volume = 22.50 Å³/atom
D(E_F) = 3.34 states/eV/f.u.